A relaxed Tb2PaSnO8 crystal. Source: the Alexandria database, functional GGA-PBE.

The crystal system is monoclinic. As for the raw formation energy: -2.86 eV per atom. For the density of states at the Fermi level, the calculation gives 0.721 states/eV per atom.

The structure belongs to space group P2/m (No. 10); the cell edges are 3.770, 7.576 and 5.394 Å and the angles 90.00°, 90.13° and 90.00°. The asymmetric unit holds Tb at (0.000, 0.246, 0.000), Pa at (0.500, 0.500, 0.500), Sn at (0.500, 0.000, 0.500), O at (0.000, 0.500, 0.259), O at (0.002, 0.000, 0.269) and O at (0.499, 0.246, 0.737).



A relaxed PaSnTeO6 crystal. Source: the Alexandria database, functional GGA-PBE.

The crystal system is trigonal. As for the raw formation energy: -1.90 eV per atom. For the density of states at the Fermi level, the calculation gives 0.541 states/eV per atom.

The structure belongs to space group P-31c (No. 163); the cell edges are 5.7663, 5.7663 and 9.5029 Å and the angles 90.00°, 90.00° and 120.00°. The asymmetric unit holds Pa at (0.3333, 0.6667, 0.2500), Sn at (0.0000, 0.0000, 0.0000), Te at (0.3333, 0.6667, 0.7500) and O at (0.9995, 0.3413, 0.1329).